Entry 1:
The following is a PBE calculation of crystalline UCdBi at its relaxed geometry, from the Alexandria database.

## Properties
Symmetry: I4mm, No. 107

Unit cell a=3.201 b=3.201 c=8.334 alpha=101.07 beta=101.07 gamma=90.00
Fractional positions:
U  0.997  0.997  0.995
Cd  0.344  0.344  0.687
Bi  0.659  0.659  0.318

***

Entry 2:
The following is a PBE calculation of crystalline VCdBi2 at its relaxed geometry, from the Alexandria database.

## Properties
Symmetry: R-3m, No. 166

Unit cell a=3.318 b=3.318 c=11.835 alpha=81.94 beta=81.94 gamma=60.00
Fractional positions:
Cd  0.500  0.500  0.500
V  0.000  0.000  0.000
Bi  0.081  0.081  0.756
Bi  0.919  0.919  0.244

***

The records above give, respectively, magnetic moment values of 3.32, 3.50 μB/f.u..
The records above give, respectively, energy of formation values of 235, 610 meV/atom.